Record 1
Density functional theory data (GGA-PBEsol) for crystalline FeW2Se at its relaxed geometry.

```
data_FeW2Se
_chemical_formula_sum 'Fe1 W2 Se1'
_space_group_name_H-M_alt 'P 1 m 1'
_space_group_IT_number 6
_cell_length_a 2.871
_cell_length_b 4.007
_cell_length_c 5.057
_cell_angle_alpha 90.00
_cell_angle_beta 105.15
_cell_angle_gamma 90.00
loop_
_space_group_symop_operation_xyz
'x,y,z'
'x,-y,z'
loop_
_atom_site_label
_atom_site_fract_x
_atom_site_fract_y
_atom_site_fract_z
Fe1 0.000 0.000 0.000
W1 0.380 0.500 0.757
W2 0.695 0.000 0.476
Se1 0.097 0.500 0.230
```

E_form (uncorrected), eV per atom: 0.3622
Total magnetization, μB per formula unit: 0.00

Record 2
Density functional theory data (GGA-PBEsol) for crystalline FeWSe2 at its relaxed geometry.

```
data_FeWSe2
_chemical_formula_sum 'Fe3 W3 Se6'
_space_group_name_H-M_alt 'R -3 m'
_space_group_IT_number 166
_space_group_name_Hall '-R 3 2"'
_cell_length_a 3.0965
_cell_length_b 3.0965
_cell_length_c 22.2755
_cell_angle_alpha 90.00
_cell_angle_beta 90.00
_cell_angle_gamma 120.00
loop_
_atom_site_label
_atom_site_fract_x
_atom_site_fract_y
_atom_site_fract_z
Fe1 0.0000 0.0000 0.0000
W1 0.0000 0.0000 0.5000
Se1 0.0000 0.0000 0.2513
```

E_form (uncorrected), eV per atom: 0.1932
Total magnetization, μB per formula unit: 2.49

Record 3
Density functional theory data (GGA-PBEsol) for crystalline FeWSe2 at its relaxed geometry.

```
data_FeWSe2
_chemical_formula_sum 'Fe1 W1 Se2'
_space_group_name_H-M_alt 'P 4/m m m'
_space_group_IT_number 123
_space_group_name_Hall '-P 4 2'
_cell_length_a 3.096
_cell_length_b 3.096
_cell_length_c 6.107
_cell_angle_alpha 90.00
_cell_angle_beta 90.00
_cell_angle_gamma 90.00
loop_
_atom_site_label
_atom_site_fract_x
_atom_site_fract_y
_atom_site_fract_z
Fe1 0.000 0.000 0.000
W1 0.000 0.000 0.500
Se1 0.500 0.500 0.249
```

E_form (uncorrected), eV per atom: 0.2000
Total magnetization, μB per formula unit: 2.20

Record 4
Density functional theory data (GGA-PBEsol) for crystalline Y2FeSe at its relaxed geometry.

```
data_Y2FeSe
_chemical_formula_sum 'Y8 Fe4 Se4'
_space_group_name_H-M_alt 'F -4 3 m'
_space_group_IT_number 216
_space_group_name_Hall 'F -4 2 3'
_cell_length_a 6.754
_cell_length_b 6.754
_cell_length_c 6.754
_cell_angle_alpha 90.00
_cell_angle_beta 90.00
_cell_angle_gamma 90.00
loop_
_atom_site_label
_atom_site_fract_x
_atom_site_fract_y
_atom_site_fract_z
Y1 0.000 0.000 0.000
Y2 0.250 0.250 0.250
Fe1 0.000 0.000 0.500
Se1 0.250 0.250 0.750
```

E_form (uncorrected), eV per atom: 0.1001
Total magnetization, μB per formula unit: 0.48